1.
First-principles (GGA-PBE) data for Y2H2Au after structural relaxation, as listed in Alexandria via LeMat-Bulk.

The structure in extended XYZ format:
```
5
Lattice="-3.4744 -0.2271 0.1649 0.2297 -1.1238 3.2916 -0.3186 6.5017 2.2420" Properties=species:S:1:pos:R:3 pbc="T T T"
Y -1.8557 4.0868 3.3704
Y -1.7076 1.0639 2.3280
H -1.8965 3.1373 1.2034
H -0.0445 2.6889 2.7668
Au 0.0000 0.0000 0.0000
```

- Offset from the most stable computed form: 0.201 eV per atom

---

2.
First-principles (GGA-PBE) data for YHAu2 after structural relaxation, as listed in Alexandria via LeMat-Bulk.

The structure in extended XYZ format:
```
8
Lattice="6.1733 0.0000 0.0000 0.0000 6.1733 0.0000 3.0866 3.0866 3.8183" Properties=species:S:1:pos:R:3 pbc="T T T"
Y 0.0000 0.0000 0.0000
Y 6.1733 3.0866 1.9091
H 3.0866 3.0866 0.0000
H 3.0866 6.1733 1.9091
Au 3.7878 1.5433 0.9546
Au 2.3855 4.6299 0.9546
Au 4.6299 5.4721 2.8637
Au 7.7166 6.8744 2.8637
```

- Offset from the most stable computed form: 0.000 eV per atom

---

3.
First-principles (GGA-PBE) data for Y2H2Au after structural relaxation, as listed in Alexandria via LeMat-Bulk.

The structure in extended XYZ format:
```
5
Lattice="-3.1462 0.4784 1.7281 -1.7566 -0.1211 -3.1645 -3.0686 -5.9685 -0.1402" Properties=species:S:1:pos:R:3 pbc="T T T"
Y -2.6305 -1.6049 -0.5505
Y -5.3410 -4.0064 -1.0261
H -4.3331 -2.6558 0.4349
H -3.6383 -2.9555 -2.0114
Au 0.0000 0.0000 0.0000
```

- Offset from the most stable computed form: 0.000 eV per atom

---

4.
First-principles (GGA-PBE) data for YH2Au after structural relaxation, as listed in Alexandria via LeMat-Bulk.

The structure in extended XYZ format:
```
4
Lattice="0.0000 2.9678 2.9678 2.9678 0.0000 2.9678 2.9678 2.9678 0.0000" Properties=species:S:1:pos:R:3 pbc="T T T"
Y 0.0000 0.0000 0.0000
H 1.4839 1.4839 1.4839
H 4.4517 4.4517 4.4517
Au 2.9678 2.9678 2.9678
```

- Offset from the most stable computed form: 0.000 eV per atom

---

5.
First-principles (GGA-PBE) data for Y4HAu2 after structural relaxation, as listed in Alexandria via LeMat-Bulk.

The structure in extended XYZ format:
```
7
Lattice="4.7069 0.0000 0.0000 0.0000 4.7069 0.0000 2.3534 2.3534 7.4334" Properties=species:S:1:pos:R:3 pbc="T T T"
Y 4.7069 4.7069 2.7462
Y 2.3534 2.3534 4.6871
Y 0.0000 2.3534 0.0000
Y 2.3534 0.0000 0.0000
H 0.0000 0.0000 0.0000
Au 4.7069 4.7069 5.5465
Au 2.3534 2.3534 1.8868
```

- E_tot: -5.6580 eV/atom

---

6.
First-principles (GGA-PBE) data for YH2Au after structural relaxation, as listed in Alexandria via LeMat-Bulk.

The structure in extended XYZ format:
```
8
Lattice="-1.2501 0.2378 -4.2250 -3.8145 -1.9707 1.0177 -4.8755 4.1735 -0.6266" Properties=species:S:1:pos:R:3 pbc="T T T"
Y -2.5323 -0.8665 -1.6036
Y -5.6111 0.6682 -0.6062
H -2.5417 0.9580 -2.8886
H -3.6945 -0.1709 0.1699
H -5.3585 2.5823 -1.7253
H -8.2855 1.5119 -3.2236
Au 0.0000 0.0000 0.0000
Au -4.3290 1.7724 -3.2276
```

- Offset from the most stable computed form: 0.094 eV per atom

---

7.
First-principles (GGA-PBE) data for YHAu2 after structural relaxation, as listed in Alexandria via LeMat-Bulk.

The structure in extended XYZ format:
```
4
Lattice="0.0000 3.3809 3.3809 3.3809 0.0000 3.3809 3.3809 3.3809 0.0000" Properties=species:S:1:pos:R:3 pbc="T T T"
Y 3.3809 3.3809 3.3809
H 0.0000 0.0000 0.0000
Au 1.6905 1.6905 1.6905
Au 5.0714 5.0714 5.0714
```

- Offset from the most stable computed form: 0.111 eV per atom

---

8.
First-principles (GGA-PBE) data for YZr2HAu after structural relaxation, as listed in Alexandria via LeMat-Bulk.

The structure in extended XYZ format:
```
5
Lattice="-0.4177 0.8663 -4.2961 0.6000 -4.2637 -0.9181 -4.7188 -0.7311 0.3113" Properties=species:S:1:pos:R:3 pbc="T T T"
Y -2.3594 -0.3655 0.1557
H 0.0000 0.0000 0.0000
Au -2.2682 -2.0642 -2.4515
Zr 0.3000 -2.1318 -0.4591
Zr -0.2088 0.4332 -2.1481
```

- E_tot: -6.3432 eV/atom

---

Number 1: density 7.5 Mg/m³. Number 2: density 11.0 Mg/m³. Number 3: density 7.7 Mg/m³. Number 4: density 9.1 Mg/m³. Number 5: density 7.6 Mg/m³. Number 6: density 8.7 Mg/m³. Number 7: density 10.4 Mg/m³. Number 8: density 8.4 Mg/m³.